Entry 1:
BeCrRe2: relaxed, GGA-PBEsol.

Lattice parameters (Å, degrees): 2.9535 4.0192 4.8389 114.55 107.79 89.99
Atoms (fractional coordinates):
Re: 0.9940 0.4939 0.9881
Re: 0.7505 0.7504 0.5008
Be: 0.5054 0.0056 0.0119
Cr: 0.2500 0.2498 0.4992

Computed properties:
energy of formation = 0.028 eV per atom
crystal system = orthorhombic
uncorrected energy = -0.74956 Ry per atom
total magnetic moment = 0.00 μB/f.u.

***

Entry 2:
BeCrRe2: relaxed, GGA-PBEsol.

Lattice parameters (Å, degrees): 2.9854 4.2325 4.7520 116.44 108.31 90.00
Each line ends with the local moment (μB).
Atoms (fractional coordinates):
Re: 0.7480 0.7480 0.4961  -0.05
Re: 0.2520 0.2520 0.5039  -0.05
Be: 0.5000 0.0000 0.0000  -0.01
Cr: 0.0000 0.5000 0.0000  0.75

Computed properties:
energy of formation = 0.085 eV per atom
crystal system = orthorhombic
uncorrected energy = -0.74543 Ry per atom
total magnetic moment = 0.69 μB/f.u.

***

Entry 3:
Be2CrRe2: relaxed, GGA-PBEsol.

Lattice parameters (Å, degrees): 3.0760 5.9264 5.9264 90.00 90.00 90.00
Atoms (fractional coordinates):
Re: 0.5000 0.1760 0.6760
Re: 0.5000 0.6760 0.8240
Re: 0.5000 0.8240 0.3240
Re: 0.5000 0.3240 0.1760
Be: 0.0000 0.3791 0.8791
Be: 0.0000 0.8791 0.6209
Be: 0.0000 0.6209 0.1209
Be: 0.0000 0.1209 0.3791
Cr: 0.0000 0.0000 0.0000
Cr: 0.0000 0.5000 0.5000

Computed properties:
energy of formation = -0.147 eV per atom
crystal system = tetragonal
uncorrected energy = -0.67095 Ry per atom
total magnetic moment = 0.00 μB/f.u.

***

Entry 4:
BeCr2Rh: relaxed, GGA-PBEsol.

Lattice parameters (Å, degrees): 2.5181 4.5297 4.5297 119.67 90.00 90.00
Atoms (fractional coordinates):
Cr: 0.0000 0.5000 0.0000
Cr: 0.0000 0.0000 0.5000
Rh: 0.5000 0.0000 0.0000
Be: 0.5000 0.5000 0.5000

Computed properties:
energy of formation = 0.033 eV per atom
crystal system = orthorhombic
uncorrected energy = -0.59697 Ry per atom
total magnetic moment = 0.00 μB/f.u.

***

Entry 5:
BeCrRh: relaxed, GGA-PBEsol.

Lattice parameters (Å, degrees): 2.7111 2.7111 4.7897 106.44 106.44 90.00
Atoms (fractional coordinates):
Cr: 0.3411 0.3411 0.6823
Rh: 0.6575 0.6575 0.3151
Be: 0.0013 0.0013 0.0027

Computed properties:
energy of formation = -0.212 eV per atom
crystal system = tetragonal
uncorrected energy = -0.56392 Ry per atom
total magnetic moment = 0.00 μB/f.u.

***

Entry 6:
Be2CrRu: relaxed, GGA-PBEsol.

Lattice parameters (Å, degrees): 4.7708 4.8455 4.8455 75.97 60.51 60.51
Atoms (fractional coordinates):
Ru: 0.7500 0.5000 0.5000
Ru: 0.0000 0.0000 0.0000
Be: 0.1278 0.9972 0.4972
Be: 0.6222 0.0028 0.5028
Be: 0.3750 0.4972 0.0028
Be: 0.8750 0.5028 0.9972
Cr: 0.2500 0.5000 0.5000
Cr: 0.5000 0.0000 0.0000

Computed properties:
energy of formation = 0.400 eV per atom
crystal system = tetragonal
uncorrected energy = -0.49274 Ry per atom
total magnetic moment = 0.00 μB/f.u.

***

Copy entry 2 word for word.
BeCrRe2: relaxed, GGA-PBEsol.

Lattice parameters (Å, degrees): 2.9854 4.2325 4.7520 116.44 108.31 90.00
Each line ends with the local moment (μB).
Atoms (fractional coordinates):
Re: 0.7480 0.7480 0.4961  -0.05
Re: 0.2520 0.2520 0.5039  -0.05
Be: 0.5000 0.0000 0.0000  -0.01
Cr: 0.0000 0.5000 0.0000  0.75

Computed properties:
energy of formation = 0.085 eV per atom
crystal system = orthorhombic
uncorrected energy = -0.74543 Ry per atom
total magnetic moment = 0.69 μB/f.u.